This record from Alexandria via LeMat-Bulk describes crystalline Fe2ReAs8 at its relaxed geometry. The functional is PBE.

DFT formation energy	4.4	kcal/mol of atoms
E	-5.863	eV per atom

extended XYZ file:
```
11
Lattice="6.431 -3.817 0.000 6.431 3.817 0.000 -0.962 0.000 4.501" Properties=species:S:1:pos:R:3 pbc="T T T"
Fe 2.109 0.000 1.249
Fe 9.791 0.000 3.251
Re -0.481 0.000 2.250
As 4.758 1.926 3.399
As 1.599 0.000 3.555
As 7.143 1.926 1.102
As 4.356 0.000 1.779
As 7.544 0.000 2.722
As 4.758 -1.926 3.399
As 10.301 0.000 0.946
As 7.143 -1.926 1.102
```

This record from Alexandria via LeMat-Bulk describes crystalline Fe2ReAs at its relaxed geometry. The functional is PBE.

DFT formation energy	4.9	kcal/mol of atoms
E	-8.295	eV per atom

extended XYZ file:
```
4
Lattice="-1.477 2.087 4.174 1.477 -2.087 4.174 1.477 2.087 -4.174" Properties=species:S:1:pos:R:3 pbc="T T T"
Fe 0.000 0.000 1.958
Fe 0.000 0.000 6.389
Re 0.000 2.087 0.000
As 1.477 0.000 0.000
```

This record from Alexandria via LeMat-Bulk describes crystalline Fe2ReAs at its relaxed geometry. The functional is PBE.

DFT formation energy	6.6	kcal/mol of atoms
E	-8.219	eV per atom

extended XYZ file:
```
4
Lattice="-1.857 1.857 3.628 1.857 -1.857 3.628 1.857 1.857 -3.628" Properties=species:S:1:pos:R:3 pbc="T T T"
Fe 1.857 0.000 1.814
Fe 0.000 1.857 1.814
Re 0.000 0.000 0.000
As 0.000 0.000 3.628
```

This record from Alexandria via LeMat-Bulk describes crystalline FeRe2As at its relaxed geometry. The functional is PBE.

DFT formation energy	10.8	kcal/mol of atoms
E	-9.034	eV per atom

extended XYZ file:
```
4
Lattice="2.687 -4.297 0.000 2.687 4.297 0.000 -1.167 0.000 2.522" Properties=species:S:1:pos:R:3 pbc="T T T"
Fe 0.000 0.000 0.000
Re 0.760 2.149 1.261
Re 0.760 -2.149 1.261
As 2.687 0.000 0.000
```

This record from Alexandria via LeMat-Bulk describes crystalline FeRe2As at its relaxed geometry. The functional is PBE.

DFT formation energy	6.0	kcal/mol of atoms
E	-9.242	eV per atom

extended XYZ file:
```
4
Lattice="2.865 0.000 0.000 0.000 3.912 0.000 0.000 0.000 5.139" Properties=species:S:1:pos:R:3 pbc="T T T"
Fe 0.000 0.000 0.000
Re 0.000 0.000 2.562
Re 1.432 1.956 1.424
As 1.432 1.956 4.032
```

This record from Alexandria via LeMat-Bulk describes crystalline Fe2ReAs at its relaxed geometry. The functional is PBE.

DFT formation energy	4.4	kcal/mol of atoms
E	-8.314	eV per atom

extended XYZ file:
```
4
Lattice="2.819 0.000 0.000 0.000 3.709 0.000 0.000 0.000 4.991" Properties=species:S:1:pos:R:3 pbc="T T T"
Fe 0.000 0.000 1.223
Fe 0.000 0.000 3.768
Re 1.410 1.855 0.000
As 1.410 1.855 2.495
```

This record from Alexandria via LeMat-Bulk describes crystalline Fe2ReAs at its relaxed geometry. The functional is PBE.

DFT formation energy	5.1	kcal/mol of atoms
E	-8.286	eV per atom

extended XYZ file:
```
4
Lattice="-1.531 2.062 4.064 1.531 -2.062 4.064 1.531 2.062 -4.064" Properties=species:S:1:pos:R:3 pbc="T T T"
Fe 0.000 0.000 0.000
Fe 0.000 2.062 2.001
Re 1.531 0.000 2.213
As 0.000 0.000 4.228
```

This record from Alexandria via LeMat-Bulk describes crystalline FeReAs2 at its relaxed geometry. The functional is PBE.

DFT formation energy	14.8	kcal/mol of atoms
E	-6.910	eV per atom

extended XYZ file:
```
4
Lattice="0.000 3.116 3.116 3.116 0.000 3.116 3.116 3.116 0.000" Properties=species:S:1:pos:R:3 pbc="T T T"
Fe 0.000 0.000 0.000
Re 4.674 4.674 4.674
As 1.558 1.558 1.558
As 3.116 3.116 3.116
```

Please write out number 3 again, unchanged.
This record from Alexandria via LeMat-Bulk describes crystalline Fe2ReAs at its relaxed geometry. The functional is PBE.

DFT formation energy	6.6	kcal/mol of atoms
E	-8.219	eV per atom

extended XYZ file:
```
4
Lattice="-1.857 1.857 3.628 1.857 -1.857 3.628 1.857 1.857 -3.628" Properties=species:S:1:pos:R:3 pbc="T T T"
Fe 1.857 0.000 1.814
Fe 0.000 1.857 1.814
Re 0.000 0.000 0.000
As 0.000 0.000 3.628
```

Which of these has the lowest E? number 5